[1]
Density functional theory data (GGA-PBEsol) for a geometry-optimized HWS2 structure.

Unit cell a=5.800 b=5.800 c=5.800 alpha=90.00 beta=90.00 gamma=90.00
Space group Fm-3m (No. 225)
Unique sites:
H 0.000 0.000 0.000 x4
W 0.000 0.000 0.500 x4
S 0.250 0.250 0.250 x8

Output
**Magnetic moment**: 0.6 μB/f.u.
**Electronic total energy**: -24.51 eV/f.u.
**Relative energy among the computed polymorphs**: 0 meV per atom

***

[2]
Density functional theory data (GGA-PBEsol) for a geometry-optimized Mg2BF2 structure.

Unit cell a=6.872 b=6.872 c=3.460 alpha=90.00 beta=90.00 gamma=90.00
Space group P4/mbm (No. 127)
Unique sites:
Mg 0.216 0.284 0.000 x4
B 0.000 0.000 0.000 x2
F 0.135 0.365 0.500 x4

Output
**Magnetic moment**: 1.5 μB/f.u.
**Electronic total energy**: -19.62 eV/f.u.
**Raw formation energy**: -1.0636 eV/atom

***

[3]
Density functional theory data (GGA-PBEsol) for a geometry-optimized MnRePt3 structure.

Unit cell a=4.761 b=4.761 c=4.761 alpha=90.00 beta=90.00 gamma=90.00
Space group Pm-3m (No. 221)
Unique sites:
Mn 0.000 0.000 0.000 x1
Re 0.500 0.500 0.500 x1
Pt 0.000 0.500 0.500 x3

Output
**Magnetic moment**: 4.8 μB/f.u.
**Electronic total energy**: -36.82 eV/f.u.

***

What is the formula in the first record?
HWS2